# 1
Here is a relaxed Ba3NaSn crystal from Alexandria. Energies are from GGA-PBE.

```
Ba3NaSn
1.0
-0.180 -4.468 5.161
6.011 2.343 2.238
-3.235 4.603 3.871
Ba Sn Na
3 1 1
Direct
0.000 0.000 0.500 Ba
0.000 0.500 0.000 Ba
0.500 0.000 0.000 Ba
0.000 0.000 0.000 Sn
0.500 0.500 0.500 Na
```

Calculated values
* calculated volume: 63.692 Å³ per atom
* DFT total energy: -12.0 eV/cell
* relative energy among the computed polymorphs: 0.71 eV per formula unit



# 2
Here is a relaxed ZrScSi2 crystal from Alexandria. Energies are from GGA-PBE.

```
ZrScSi2
1.0
9.171 0.046 0.027
8.620 3.132 0.027
8.620 1.540 2.727
Si Sc Zr
2 1 1
Direct
0.258 0.258 0.258 Si
0.992 0.992 0.992 Si
0.743 0.743 0.743 Sc
0.507 0.507 0.507 Zr
```

Calculated values
* E_form (uncorrected): 21.0 meV/atom
* calculated volume: 19.126 Å³ per atom
* DFT total energy: -25.6 eV/cell
* relative energy among the computed polymorphs: 3.59 eV per formula unit



# 3
Here is a relaxed LaZr2N crystal from Alexandria. Energies are from GGA-PBE.

```
LaZr2N
1.0
-0.165 -3.162 0.882
-0.073 -2.346 -2.301
8.896 -2.264 -0.323
La Zr N
1 2 1
Direct
0.000 0.000 0.000 La
0.120 0.120 0.639 Zr
0.880 0.880 0.361 Zr
0.500 0.500 0.500 N
```

Calculated values
* E_form (uncorrected): -674.9 meV/atom
* calculated volume: 21.023 Å³ per atom
* DFT total energy: -33.0 eV/cell



Quick rundown of spin magnetization, same order as above: 0.00; 0.53; 0.00 μB per formula unit